(1)
First-principles (PBE-GGA) data for a relaxed structure of LiAsI3, as listed in Alexandria via LeMat-Bulk.

```
5
Lattice="5.799 0.000 0.000 0.000 5.799 0.000 0.000 0.000 5.799" Properties=species:S:1:pos:R:3 pbc="T T T"
I 2.899 0.000 0.000
I 0.000 0.000 2.899
I 0.000 2.899 0.000
As 0.000 0.000 0.000
Li 2.899 2.899 2.899
```

- DFT total energy (eV per cell) = -12.41
- density (g/cm3) = 3.940
- magnetic moment (μB/f.u.) = 0.00
- polymorph energy (0 for the lowest one) (eV per atom) = 0.294
- uncorrected formation energy (eV/atom) = -0.239



(2)
First-principles (PBE-GGA) data for a relaxed structure of LiAsI4, as listed in Alexandria via LeMat-Bulk.

```
12
Lattice="7.139 0.485 -1.917 -3.724 6.027 -1.889 0.242 0.524 10.118" Properties=species:S:1:pos:R:3 pbc="T T T"
Li 4.328 5.024 5.687
Li -0.671 2.011 0.625
I 1.567 6.640 5.907
I 0.065 3.148 7.870
I -2.302 5.415 4.899
I 2.090 0.396 0.405
I 3.592 3.888 -1.558
I 5.959 1.621 1.413
I 3.002 2.566 4.951
I 0.655 4.470 1.361
As 2.596 1.721 7.488
As 1.061 5.314 -1.176
```

- DFT total energy (eV per cell) = -31.43
- density (g/cm3) = 4.192
- magnetic moment (μB/f.u.) = 0.00
- polymorph energy (0 for the lowest one) (eV per atom) = 0.000
- uncorrected formation energy (eV/atom) = -0.491